# CrP2Ru3

CrP2Ru3 after structural relaxation (PBE, Alexandria via LeMat-Bulk).

abc: 3.7944 6.1409 6.8518
angles: 90.00 90.00 90.00
Closest atoms and distances in Å follow each position.
Atoms (fractional coordinates):
Cr1 0.5000 0.5233 0.5887  3 P 2.44-2.60
Cr2 0.5000 0.0233 0.4113  3 P 2.44-2.60
P1 0.5000 0.7679 0.8693  4 Ru 2.26-2.35, 1 Cr 2.44
P2 0.5000 0.2679 0.1307  4 Ru 2.26-2.35, 1 Cr 2.44
P3 0.0000 0.2380 0.6326  5 Ru 2.29-2.39
P4 0.0000 0.7380 0.3674  5 Ru 2.29-2.39
Ru1 0.0000 0.4708 0.9059  1 P 2.36
Ru2 0.0000 0.9708 0.0941  1 P 2.36
Ru3 0.5000 0.6469 0.1814  4 P 2.26-2.35
Ru4 0.5000 0.1469 0.8186  4 P 2.26-2.35
Ru5 0.0000 0.3532 0.3149  4 P 2.29-2.39
Ru6 0.0000 0.8532 0.6851  4 P 2.29-2.39

Properties
- D(E_F) (states/eV/f.u.) = 4.91
- volume (A^3/atom) = 13.3
- energy of formation (meV per atom) = -438.7